! GGA-PBE Na3FeS3, optimized geometry; values from VASP
&SYSTEM
  ibrav = 0, nat = 28, ntyp = 3
/
ATOMIC_SPECIES
S 32.06 S.upf
Na 22.99 Na.upf
Fe 55.84 Fe.upf
ATOMIC_POSITIONS angstrom
S 4.945 6.409 9.034
S 1.777 4.390 5.357
Na 6.757 12.896 11.048
S 5.224 6.170 0.894
S 4.862 6.395 5.312
Fe 2.599 6.475 5.326
S 5.480 9.812 11.568
Na 6.854 5.428 3.516
Fe 6.046 4.085 0.925
S 5.117 9.586 7.150
Na 6.759 4.907 7.418
Na 0.040 8.549 8.990
S 1.498 10.985 9.729
Na 3.583 1.490 1.162
S 1.670 7.807 11.613
S 1.414 4.165 0.938
Na 0.136 9.070 5.088
Na 3.309 4.497 7.715
Fe 0.848 9.892 11.582
Fe 4.295 7.502 7.181
S 2.033 7.581 7.195
Na 3.585 9.479 4.791
Na 3.407 5.132 2.734
Na 0.138 1.081 1.459
S 5.397 2.992 2.778
S 1.950 7.568 3.472
Na 3.312 12.486 11.345
Na 3.487 8.845 9.773
CELL_PARAMETERS angstrom
6.894 0.000 0.000
0.000 7.143 -0.006
0.000 6.834 12.512
! uncorrected energy: -123.2 eV/cell
! SG: P2_1/c
! V: 22.0 A^3/atom
! crystal system: monoclinic
! spin magnetization: 16.01 Bohr magnetons per cell

***

! GGA-PBE MgAl2Cd, optimized geometry; values from VASP
&SYSTEM
  ibrav = 0, nat = 4, ntyp = 3
/
ATOMIC_SPECIES
Cd 112.41 Cd.upf
Mg 24.30 Mg.upf
Al 26.98 Al.upf
ATOMIC_POSITIONS angstrom
Cd 5.354 3.091 3.226
Mg 8.977 5.183 6.101
Al 2.924 1.688 4.431
Al 3.399 1.962 1.475
CELL_PARAMETERS angstrom
4.977 1.165 0.255
3.498 3.728 0.255
3.177 1.834 5.787
! uncorrected energy: -9.6 eV/cell
! SG: Cm
! V: 20.3 A^3/atom
! formation energy from the elements: 0.1077 eV/atom
! crystal system: monoclinic
! spin magnetization: 0.00 Bohr magnetons per cell